DFT (PBE) results for a geometry-optimized LiEuSnPt structure.

Cell: 4.8851 4.8851 4.8851 Å, 60.00 60.00 60.00°
Fractional coordinates of all 4 atoms:
1 Li 0.0000 0.0000 0.0000
2 Eu 0.2500 0.2500 0.2500
3 Sn 0.7500 0.7500 0.7500
4 Pt 0.5000 0.5000 0.5000

Values from the calculation:
Space-group type ... F-43m (216)
Calculated formation energy ... -0.68 eV/atom
Crystal system ... cubic
DOS(E_F) ... 12.29 states/eV/cell